(1)
{
  "formula": "Sr2Cu",
  "functional": "PBEsol",
  "state": "optimized geometry",
  "dos_ef_per_ev_atom": 0.744,
  "dft_energy_ev_per_cell": -31.174,
  "lattice_angstrom": [[7.540, 0.000, 0.000], [0.000, 7.540, 0.000], [0.000, 0.000, 7.540]],
  "species": ["Sr", "Sr", "Sr", "Sr", "Sr", "Sr", "Sr", "Sr", "Cu", "Cu", "Cu", "Cu"],
  "frac_coords": [[0.161, 0.161, 0.161], [0.161, 0.339, 0.661], [0.339, 0.661, 0.161], [0.339, 0.839, 0.661], [0.661, 0.161, 0.339], [0.661, 0.339, 0.839], [0.839, 0.661, 0.339], [0.839, 0.839, 0.839], [0.000, 0.000, 0.500], [0.000, 0.500, 0.000], [0.500, 0.000, 0.000], [0.500, 0.500, 0.500]]
}

=====

(2)
{
  "formula": "SrCa2I6",
  "functional": "PBEsol",
  "state": "optimized geometry",
  "formation_energy_uncorrected_ev_per_atom": -1.5907,
  "dos_ef_per_ev_atom": 0.000,
  "dft_energy_ev_per_cell": -93.072,
  "lattice_angstrom": [[13.570, 0.000, 0.000], [-6.785, 11.752, 0.000], [0.000, 0.000, 6.983]],
  "species": ["Sr", "Sr", "Sr", "Ca", "Ca", "Ca", "Ca", "Ca", "Ca", "I", "I", "I", "I", "I", "I", "I", "I", "I", "I", "I", "I", "I", "I", "I", "I", "I", "I"],
  "frac_coords": [[0.000, 0.000, 0.000], [0.333, 0.667, 0.499], [0.667, 0.333, 0.501], [0.000, 0.323, 0.500], [0.000, 0.657, 0.000], [0.323, 0.000, 0.500], [0.343, 0.343, 0.000], [0.657, 0.000, 0.000], [0.677, 0.677, 0.500], [0.102, 0.873, 0.745], [0.105, 0.540, 0.755], [0.127, 0.229, 0.745], [0.215, 0.438, 0.242], [0.223, 0.785, 0.242], [0.229, 0.127, 0.255], [0.436, 0.895, 0.755], [0.438, 0.215, 0.758], [0.460, 0.564, 0.755], [0.540, 0.105, 0.245], [0.562, 0.777, 0.242], [0.564, 0.460, 0.245], [0.771, 0.898, 0.745], [0.777, 0.562, 0.758], [0.785, 0.223, 0.758], [0.873, 0.102, 0.255], [0.895, 0.436, 0.245], [0.898, 0.771, 0.255]]
}

=====

(3)
{
  "formula": "ScSbW3",
  "functional": "PBEsol",
  "state": "optimized geometry",
  "formation_energy_uncorrected_ev_per_atom": 2.4025,
  "dos_ef_per_ev_atom": 1.028,
  "dft_energy_ev_per_cell": -40.572,
  "lattice_angstrom": [[4.629, 0.000, 0.000], [0.000, 4.629, 0.000], [0.000, 0.000, 4.629]],
  "species": ["Sc", "Sb", "W", "W", "W"],
  "frac_coords": [[0.000, 0.000, 0.000], [0.500, 0.500, 0.500], [0.000, 0.000, 0.500], [0.000, 0.500, 0.000], [0.500, 0.000, 0.000]]
}

=====

(4)
{
  "formula": "CaAgTe2",
  "functional": "PBEsol",
  "state": "optimized geometry",
  "formation_energy_uncorrected_ev_per_atom": -0.6621,
  "dos_ef_per_ev_atom": 0.496,
  "dft_energy_ev_per_cell": -15.145,
  "lattice_angstrom": [[4.154, 0.000, 0.000], [0.000, 4.777, 0.000], [-1.747, 0.000, 5.577]],
  "species": ["Ca", "Ag", "Te", "Te"],
  "frac_coords": [[0.000, 0.000, 0.000], [0.592, 0.500, 0.586], [0.271, 0.000, 0.556], [0.555, 0.500, 0.091]]
}

=====

(5)
{
  "formula": "MnBe4",
  "functional": "PBEsol",
  "state": "optimized geometry",
  "dos_ef_per_ev_atom": 0.307,
  "dft_energy_ev_per_cell": -49.812,
  "lattice_angstrom": [[2.977, 0.000, 0.000], [0.000, 2.977, 0.000], [0.000, 0.000, 9.610]],
  "species": ["Mn", "Mn", "Be", "Be", "Be", "Be", "Be", "Be", "Be", "Be"],
  "frac_coords": [[0.000, 0.000, 0.000], [0.500, 0.500, 0.500], [0.000, 0.000, 0.402], [0.000, 0.000, 0.598], [0.000, 0.500, 0.250], [0.000, 0.500, 0.750], [0.500, 0.000, 0.250], [0.500, 0.000, 0.750], [0.500, 0.500, 0.098], [0.500, 0.500, 0.902]]
}

=====

(6)
{
  "formula": "Mn3TeS",
  "functional": "PBEsol",
  "state": "optimized geometry",
  "formation_energy_uncorrected_ev_per_atom": 0.2534,
  "dos_ef_per_ev_atom": 1.224,
  "dft_energy_ev_per_cell": -35.927,
  "lattice_angstrom": [[4.247, 0.000, 0.000], [0.000, 4.247, 0.000], [0.000, 0.000, 4.247]],
  "species": ["Mn", "Mn", "Mn", "Te", "S"],
  "frac_coords": [[0.000, 0.000, 0.500], [0.000, 0.500, 0.000], [0.500, 0.000, 0.000], [0.500, 0.500, 0.500], [0.000, 0.000, 0.000]]
}

=====

(7)
{
  "formula": "AlSbAsI2",
  "functional": "PBEsol",
  "state": "optimized geometry",
  "formation_energy_uncorrected_ev_per_atom": 0.5276,
  "dos_ef_per_ev_atom": 0.781,
  "dft_energy_ev_per_cell": -14.651,
  "lattice_angstrom": [[5.227, 0.000, 0.000], [0.000, 5.227, 0.000], [0.000, 0.000, 5.497]],
  "species": ["Al", "Sb", "As", "I", "I"],
  "frac_coords": [[0.000, 0.000, 0.000], [0.000, 0.000, 0.500], [0.500, 0.500, 0.500], [0.000, 0.500, 0.000], [0.500, 0.000, 0.000]]
}

=====

(8)
{
  "formula": "Sc2Hg",
  "functional": "PBEsol",
  "state": "optimized geometry",
  "dos_ef_per_ev_atom": 1.230,
  "dft_energy_ev_per_cell": -26.753,
  "lattice_angstrom": [[0.000, 4.030, 4.030], [4.030, 0.000, 4.030], [4.030, 4.030, 0.000]],
  "species": ["Sc", "Sc", "Sc", "Sc", "Hg", "Hg"],
  "frac_coords": [[0.000, 0.000, 0.000], [0.000, 0.000, 0.500], [0.000, 0.500, 0.000], [0.500, 0.000, 0.000], [0.375, 0.375, 0.375], [0.625, 0.625, 0.625]]
}

=====

(9)
{
  "formula": "TaTcRu2",
  "functional": "PBEsol",
  "state": "optimized geometry",
  "dos_ef_per_ev_atom": 1.531,
  "dft_energy_ev_per_cell": -174.320,
  "lattice_angstrom": [[6.171, 0.000, 0.000], [0.000, 6.171, 0.000], [0.000, 0.000, 6.171]],
  "species": ["Ta", "Ta", "Ta", "Ta", "Tc", "Tc", "Tc", "Tc", "Ru", "Ru", "Ru", "Ru", "Ru", "Ru", "Ru", "Ru"],
  "frac_coords": [[0.000, 0.000, 0.000], [0.000, 0.500, 0.500], [0.500, 0.000, 0.500], [0.500, 0.500, 0.000], [0.250, 0.250, 0.250], [0.250, 0.750, 0.750], [0.750, 0.250, 0.750], [0.750, 0.750, 0.250], [0.000, 0.000, 0.500], [0.000, 0.500, 0.000], [0.250, 0.250, 0.750], [0.250, 0.750, 0.250], [0.500, 0.000, 0.000], [0.500, 0.500, 0.500], [0.750, 0.250, 0.250], [0.750, 0.750, 0.750]]
}

=====

(10)
{
  "formula": "ZrMoC2",
  "functional": "PBEsol",
  "state": "optimized geometry",
  "dos_ef_per_ev_atom": 0.606,
  "dft_energy_ev_per_cell": -159.026,
  "lattice_angstrom": [[4.825, 0.000, 0.000], [0.000, 4.825, 0.000], [0.000, 0.000, 9.713]],
  "species": ["Zr", "Zr", "Zr", "Zr", "Mo", "Mo", "Mo", "Mo", "C", "C", "C", "C", "C", "C", "C", "C"],
  "frac_coords": [[0.000, 0.000, 0.000], [0.000, 0.500, 0.250], [0.500, 0.000, 0.750], [0.500, 0.500, 0.500], [0.000, 0.000, 0.500], [0.000, 0.500, 0.750], [0.500, 0.000, 0.250], [0.500, 0.500, 0.000], [0.214, 0.250, 0.625], [0.250, 0.714, 0.875], [0.250, 0.786, 0.375], [0.286, 0.250, 0.125], [0.714, 0.750, 0.125], [0.750, 0.214, 0.375], [0.750, 0.286, 0.875], [0.786, 0.750, 0.625]]
}

=====

(11)
{
  "formula": "Li2TcCl",
  "functional": "PBEsol",
  "state": "optimized geometry",
  "formation_energy_uncorrected_ev_per_atom": 0.0946,
  "dos_ef_per_ev_atom": 0.742,
  "dft_energy_ev_per_cell": -33.658,
  "lattice_angstrom": [[4.774, 0.000, 0.000], [0.000, 8.545, 0.000], [0.000, 0.000, 2.718]],
  "species": ["Li", "Li", "Li", "Li", "Tc", "Tc", "Cl", "Cl"],
  "frac_coords": [[0.250, 0.250, 0.000], [0.250, 0.750, 0.000], [0.750, 0.250, 0.000], [0.750, 0.750, 0.000], [0.000, 0.000, 0.500], [0.500, 0.500, 0.500], [0.000, 0.500, 0.500], [0.500, 0.000, 0.500]]
}

=====

(12)
{
  "formula": "CrAgPb",
  "functional": "PBEsol",
  "state": "optimized geometry",
  "dos_ef_per_ev_atom": 0.734,
  "dft_energy_ev_per_cell": -62.293,
  "lattice_angstrom": [[6.349, 0.000, 0.000], [0.000, 6.349, 0.000], [0.000, 0.000, 6.349]],
  "species": ["Cr", "Cr", "Cr", "Cr", "Ag", "Ag", "Ag", "Ag", "Pb", "Pb", "Pb", "Pb"],
  "frac_coords": [[0.000, 0.000, 0.000], [0.000, 0.500, 0.500], [0.500, 0.000, 0.500], [0.500, 0.500, 0.000], [0.250, 0.250, 0.250], [0.250, 0.750, 0.750], [0.750, 0.250, 0.750], [0.750, 0.750, 0.250], [0.250, 0.250, 0.750], [0.250, 0.750, 0.250], [0.750, 0.250, 0.250], [0.750, 0.750, 0.750]]
}

=====

(13)
{
  "formula": "CoPtRh2",
  "functional": "PBEsol",
  "state": "optimized geometry",
  "dos_ef_per_ev_atom": 1.444,
  "dft_energy_ev_per_cell": -30.940,
  "lattice_angstrom": [[2.664, 0.000, 0.000], [0.000, 3.716, 0.000], [0.000, 0.000, 5.321]],
  "species": ["Co", "Pt", "Rh", "Rh"],
  "frac_coords": [[0.000, 0.000, 0.000], [0.500, 0.500, 0.246], [0.000, 0.000, 0.513], [0.500, 0.500, 0.758]]
}

=====

(14)
{
  "formula": "ZrCuAu",
  "functional": "PBEsol",
  "state": "optimized geometry",
  "dos_ef_per_ev_atom": 0.591,
  "dft_energy_ev_per_cell": -18.577,
  "lattice_angstrom": [[4.459, 0.000, 0.000], [-2.229, 3.861, 0.000], [0.000, 0.000, 2.865]],
  "species": ["Zr", "Cu", "Au"],
  "frac_coords": [[0.000, 0.000, 0.000], [0.667, 0.333, 0.500], [0.333, 0.667, 0.500]]
}

=====

(15)
{
  "formula": "Tl2FeGePb",
  "functional": "PBEsol",
  "state": "optimized geometry",
  "dos_ef_per_ev_atom": 1.181,
  "dft_energy_ev_per_cell": -17.073,
  "lattice_angstrom": [[5.743, 0.000, 0.000], [0.000, 5.743, 0.000], [0.000, 0.000, 4.913]],
  "species": ["Tl", "Tl", "Fe", "Ge", "Pb"],
  "frac_coords": [[0.000, 0.500, 0.000], [0.500, 0.000, 0.000], [0.000, 0.000, 0.500], [0.500, 0.500, 0.500], [0.000, 0.000, 0.000]]
}

=====

(16)
{
  "formula": "Si3AgPd",
  "functional": "PBEsol",
  "state": "optimized geometry",
  "formation_energy_uncorrected_ev_per_atom": 1.1491,
  "dos_ef_per_ev_atom": 0.516,
  "dft_energy_ev_per_cell": -20.764,
  "lattice_angstrom": [[4.685, 0.000, 0.000], [0.000, 4.685, 0.000], [0.000, 0.000, 4.685]],
  "species": ["Si", "Si", "Si", "Ag", "Pd"],
  "frac_coords": [[0.000, 0.000, 0.500], [0.000, 0.500, 0.000], [0.500, 0.000, 0.000], [0.000, 0.000, 0.000], [0.500, 0.500, 0.500]]
}

=====

(17)
{
  "formula": "BeCr3Sb",
  "functional": "PBEsol",
  "state": "optimized geometry",
  "formation_energy_uncorrected_ev_per_atom": 0.6511,
  "dos_ef_per_ev_atom": 0.812,
  "dft_energy_ev_per_cell": -36.028,
  "lattice_angstrom": [[4.091, 0.000, 0.000], [0.000, 4.091, 0.000], [0.000, 0.000, 4.091]],
  "species": ["Be", "Cr", "Cr", "Cr", "Sb"],
  "frac_coords": [[0.000, 0.000, 0.000], [0.000, 0.000, 0.500], [0.000, 0.500, 0.000], [0.500, 0.000, 0.000], [0.500, 0.500, 0.500]]
}

=====

(18)
{
  "formula": "Ca2FeHg",
  "functional": "PBEsol",
  "state": "optimized geometry",
  "dos_ef_per_ev_atom": 2.055,
  "dft_energy_ev_per_cell": -13.209,
  "lattice_angstrom": [[5.157, 0.000, 0.000], [0.000, 5.157, 0.000], [0.000, 0.000, 3.526]],
  "species": ["Ca", "Ca", "Fe", "Hg"],
  "frac_coords": [[0.000, 0.500, 0.000], [0.500, 0.000, 0.000], [0.000, 0.000, 0.500], [0.500, 0.500, 0.500]]
}

=====

(19)
{
  "formula": "ZrNiH2",
  "functional": "PBEsol",
  "state": "optimized geometry",
  "dos_ef_per_ev_atom": 0.655,
  "dft_energy_ev_per_cell": -90.530,
  "lattice_angstrom": [[5.232, 0.000, 0.000], [0.000, 5.232, 0.000], [0.000, 0.000, 5.232]],
  "species": ["Zr", "Zr", "Zr", "Zr", "Ni", "Ni", "Ni", "Ni", "H", "H", "H", "H", "H", "H", "H", "H"],
  "frac_coords": [[0.000, 0.000, 0.000], [0.000, 0.500, 0.500], [0.500, 0.000, 0.500], [0.500, 0.500, 0.000], [0.000, 0.000, 0.500], [0.000, 0.500, 0.000], [0.500, 0.000, 0.000], [0.500, 0.500, 0.500], [0.250, 0.250, 0.250], [0.250, 0.250, 0.750], [0.250, 0.750, 0.250], [0.250, 0.750, 0.750], [0.750, 0.250, 0.250], [0.750, 0.250, 0.750], [0.750, 0.750, 0.250], [0.750, 0.750, 0.750]]
}

=====

(20)
{
  "formula": "AgC3I",
  "functional": "PBEsol",
  "state": "optimized geometry",
  "formation_energy_uncorrected_ev_per_atom": 3.4389,
  "dos_ef_per_ev_atom": 0.795,
  "dft_energy_ev_per_cell": -16.815,
  "lattice_angstrom": [[4.140, 0.000, 0.000], [0.000, 4.140, 0.000], [0.000, 0.000, 4.140]],
  "species": ["Ag", "C", "C", "C", "I"],
  "frac_coords": [[0.000, 0.000, 0.000], [0.000, 0.500, 0.500], [0.500, 0.000, 0.500], [0.500, 0.500, 0.000], [0.500, 0.500, 0.500]]
}

=====

(21)
{
  "formula": "KIn9Co2",
  "functional": "PBEsol",
  "state": "optimized geometry",
  "dos_ef_per_ev_atom": 0.227,
  "dft_energy_ev_per_cell": -44.805,
  "lattice_angstrom": [[8.692, 0.000, 0.000], [-4.346, 7.528, 0.000], [0.000, 0.000, 4.167]],
  "species": ["K", "In", "In", "In", "In", "In", "In", "In", "In", "In", "Co", "Co"],
  "frac_coords": [[0.000, 0.000, 0.000], [0.000, 0.500, 0.000], [0.209, 0.418, 0.500], [0.209, 0.791, 0.500], [0.418, 0.209, 0.500], [0.500, 0.000, 0.000], [0.500, 0.500, 0.000], [0.582, 0.791, 0.500], [0.791, 0.209, 0.500], [0.791, 0.582, 0.500], [0.333, 0.667, 0.000], [0.667, 0.333, 0.000]]
}

=====

(22)
{
  "formula": "Pm3Ge",
  "functional": "PBEsol",
  "state": "optimized geometry",
  "dos_ef_per_ev_atom": 1.112,
  "dft_energy_ev_per_cell": -21.948,
  "lattice_angstrom": [[4.685, 0.000, 0.000], [0.000, 4.685, 0.000], [0.000, 0.000, 4.685]],
  "species": ["Pm", "Pm", "Pm", "Ge"],
  "frac_coords": [[0.000, 0.000, 0.500], [0.000, 0.500, 0.000], [0.500, 0.000, 0.000], [0.500, 0.500, 0.500]]
}

=====

(23)
{
  "formula": "Ba4Be5",
  "functional": "PBEsol",
  "state": "optimized geometry",
  "dos_ef_per_ev_atom": 0.832,
  "dft_energy_ev_per_cell": -24.463,
  "lattice_angstrom": [[-6.144, 6.144, 1.955], [6.144, -6.144, 1.955], [6.144, 6.144, -1.955]],
  "species": ["Ba", "Ba", "Ba", "Ba", "Be", "Be", "Be", "Be", "Be"],
  "frac_coords": [[0.000, 0.270, 0.270], [0.000, 0.730, 0.730], [0.270, 0.000, 0.270], [0.730, 0.000, 0.730], [0.000, 0.000, 0.000], [0.418, 0.418, 0.836], [0.418, 0.582, 0.000], [0.582, 0.418, 0.000], [0.582, 0.582, 0.164]]
}

=====

(24)
{
  "formula": "HfPd3Pt",
  "functional": "PBEsol",
  "state": "optimized geometry",
  "dos_ef_per_ev_atom": 1.253,
  "dft_energy_ev_per_cell": -30.398,
  "lattice_angstrom": [[4.727, 0.000, 0.000], [0.000, 4.727, 0.000], [0.000, 0.000, 4.727]],
  "species": ["Hf", "Pd", "Pd", "Pd", "Pt"],
  "frac_coords": [[0.000, 0.000, 0.000], [0.000, 0.500, 0.500], [0.500, 0.000, 0.500], [0.500, 0.500, 0.000], [0.500, 0.500, 0.500]]
}

=====

(25)
{
  "formula": "RbTeAu",
  "functional": "PBEsol",
  "state": "optimized geometry",
  "formation_energy_uncorrected_ev_per_atom": -0.6129,
  "dft_energy_ev_per_cell": -20.628,
  "lattice_angstrom": [[5.726, 0.000, 0.000], [0.000, 5.129, 0.000], [0.000, 0.000, 7.200]],
  "species": ["Rb", "Rb", "Te", "Te", "Au", "Au"],
  "frac_coords": [[0.250, 0.000, 0.211], [0.750, 0.000, 0.789], [0.250, 0.500, 0.805], [0.750, 0.500, 0.195], [0.000, 0.500, 0.500], [0.500, 0.500, 0.500]]
}